The following is a SCAN calculation of a crystal of SrCd3 relaxed with PBEsol, from the Alexandria database.

Lattice parameters (Å, degrees): 3.623 3.623 7.730 90.00 90.00 90.00
Positions (direct):
Sr: 0.000 0.000 0.000
Cd: 0.000 0.000 0.500
Cd: 0.500 0.500 0.291
Cd: 0.500 0.500 0.709

* calculated total energy: -28.587 eV/atom
* crystal system: tetragonal
* energy relative to the elements: -80 kJ/mol of formula units
* space group: No. 123